Material: Sn3MoF9
Method: DFT, PBE+U
State: optimized geometry

Computed properties:
VASP energy = -265.3 eV per cell

abc: 12.6574 7.1475 12.4817
angles: 90.00 112.46 90.00
With the nearest neighbours (Å) after each atom.
Space group Cc (No. 9)
One atom of each set of equivalent atoms:
Sn 0.0000 0.2155 0.0000  3 F 2.15-2.36
Sn 0.1822 0.2691 0.5607  4 F 2.20-2.45
Sn 0.3653 0.2190 0.1339  3 F 2.13-2.36
Mo 0.1818 0.0020 0.8138  6 F 2.08-2.14
F 0.0431 0.1222 0.6725  1 Mo 2.14
F 0.0576 0.4985 0.5269  2 Sn 2.15-2.20
F 0.0921 0.2114 0.3583  1 Mo 2.10
F 0.1552 0.1689 0.9429  1 Mo 2.13, 1 Sn 2.36
F 0.2066 0.1680 0.1849  1 Mo 2.13, 1 Sn 2.36
F 0.2732 0.2106 0.7699  1 Mo 2.08
F 0.3045 0.4986 0.0847  2 Sn 2.15-2.21
F 0.3211 0.1177 0.4541  1 Mo 2.13
F 0.4246 0.2881 0.3137  2 Sn 2.13-2.15